YZnSn2 (GGA-PBE, optimized geometry); energy relative to the elements = 0.0983 eV/atom
1.0
1.717 0.992 10.522
-1.717 0.992 10.522
0.000 -1.983 10.522
Y Zn Sn
1 1 2
Cartesian
0.000 0.000 0.000
0.000 0.000 15.784
0.000 0.000 3.100
0.000 0.000 28.467



Y4Zn3Sn (GGA-PBE, optimized geometry); energy relative to the elements = -0.4561 eV/atom
1.0
2.559 1.478 8.447
-2.559 1.478 8.447
0.000 -2.955 8.447
Y Zn Sn
4 3 1
Cartesian
0.000 0.000 3.072
0.000 0.000 9.423
0.000 0.000 15.919
0.000 0.000 22.270
0.000 0.000 0.000
0.000 0.000 6.448
0.000 0.000 18.894
0.000 0.000 12.671



Y6Zn5Sn (GGA-PBE, optimized geometry); energy relative to the elements = -0.4271 eV/atom
1.0
-2.554 3.611 7.687
2.554 -3.611 7.687
2.554 3.611 -7.687
Y Zn Sn
6 5 1
Cartesian
2.554 1.773 -2.615
0.000 1.740 0.000
2.554 1.773 2.615
0.000 1.838 5.072
0.000 5.482 0.000
0.000 1.838 10.303
2.554 0.000 0.000
0.000 0.000 2.581
2.554 0.000 5.066
0.000 3.611 2.622
0.000 0.000 12.794
0.000 0.000 7.687



Y6Zn2Sn (GGA-PBE, optimized geometry); energy relative to the elements = -0.3419 eV/atom
1.0
-4.862 4.894 5.204
4.862 -4.894 5.204
4.862 4.894 -5.204
Y Zn Sn
12 4 2
Cartesian
4.862 -2.863 3.301
2.870 0.000 2.464
6.854 0.000 2.464
3.069 2.716 0.000
6.656 2.716 0.000
0.000 2.031 1.903
4.862 2.863 3.301
-1.794 2.179 5.204
1.794 2.179 5.204
-1.992 4.894 2.740
1.992 4.894 2.740
0.000 7.757 1.903
1.337 0.000 0.000
8.388 0.000 0.000
0.000 0.000 3.928
0.000 0.000 6.481
4.862 0.000 0.000
0.000 4.894 0.000